[1]
! ZnCu (GGA-PBE, relaxed); values from VASP
&SYSTEM
  ibrav = 0, nat = 8, ntyp = 2
/
ATOMIC_SPECIES
Zn 65.41 Zn.upf
Cu 63.55 Cu.upf
ATOMIC_POSITIONS crystal
Zn 0.0000 0.0000 0.2500
Zn 0.0000 0.0000 0.7500
Zn 0.3333 0.6667 0.2500
Zn 0.6667 0.3333 0.7500
Cu 0.3333 0.6667 0.5845
Cu 0.3333 0.6667 0.9155
Cu 0.6667 0.3333 0.0845
Cu 0.6667 0.3333 0.4155
CELL_PARAMETERS angstrom
4.2353 0.0000 0.0000
-2.1176 3.6678 0.0000
0.0000 0.0000 7.2836
! E_form = 0.080 eV per atom
! space group = No. 194

---

[2]
! K2Cd3GaSn4 (GGA-PBE, relaxed); values from VASP
&SYSTEM
  ibrav = 0, nat = 10, ntyp = 4
/
ATOMIC_SPECIES
K 39.10 K.upf
Cd 112.41 Cd.upf
Ga 69.72 Ga.upf
Sn 118.71 Sn.upf
ATOMIC_POSITIONS crystal
K 0.0000 0.5000 0.2426
K 0.5000 0.0000 0.7574
Cd 0.0000 0.0000 0.0000
Cd 0.0000 0.5000 0.6454
Cd 0.5000 0.0000 0.3546
Ga 0.5000 0.5000 0.0000
Sn 0.0000 0.0000 0.5000
Sn 0.0000 0.5000 0.8707
Sn 0.5000 0.0000 0.1293
Sn 0.5000 0.5000 0.5000
CELL_PARAMETERS angstrom
4.8205 0.0000 0.0000
0.0000 4.8205 0.0000
0.0000 0.0000 12.6502
! E_form = -0.155 eV per atom
! space group = No. 115

---

[3]
! ScTlIn2Co (GGA-PBE, relaxed); values from VASP
&SYSTEM
  ibrav = 0, nat = 5, ntyp = 4
/
ATOMIC_SPECIES
Sc 44.96 Sc.upf
Tl 204.38 Tl.upf
In 114.82 In.upf
Co 58.93 Co.upf
ATOMIC_POSITIONS crystal
Sc 0.0000 0.0000 0.0000
Tl 0.5000 0.5000 0.0000
In 0.0000 0.5000 0.5000
In 0.5000 0.0000 0.5000
Co 0.0000 0.0000 0.5000
CELL_PARAMETERS angstrom
5.0120 0.0000 0.0000
0.0000 5.0120 0.0000
0.0000 0.0000 4.7014
! E_form = -0.086 eV per atom
! space group = No. 123

---

[4]
! LiRh2Se (GGA-PBE, relaxed); values from VASP
&SYSTEM
  ibrav = 0, nat = 4, ntyp = 3
/
ATOMIC_SPECIES
Li 6.94 Li.upf
Rh 102.91 Rh.upf
Se 78.96 Se.upf
ATOMIC_POSITIONS crystal
Li 0.0000 0.0000 0.0000
Rh 0.5000 0.5000 0.2476
Rh 0.5000 0.5000 0.7524
Se 0.0000 0.0000 0.5000
CELL_PARAMETERS angstrom
3.1255 0.0000 0.0000
0.0000 3.1255 0.0000
0.0000 0.0000 5.7620
! ΔE_f (raw) = -0.1618 eV per atom
! space group = No. 123